No. 1
First-principles (PBE) data for CePm3Pa2P6 after structural relaxation, as listed in Alexandria via LeMat-Bulk.

SG   No. 12
Raw total energy   -89.39 eV for the cell shown
ΔH_f (0 K)   -1.4794 eV/atom
Crystal system   monoclinic

```
data_CePm3Pa2P6
_cell_length_a 7.036
_cell_length_b 7.036
_cell_length_c 7.038
_cell_angle_alpha 99.59
_cell_angle_beta 99.59
_cell_angle_gamma 119.99
_symmetry_space_group_name_H-M 'P 1'
_symmetry_Int_Tables_number 1
_symmetry_space_group_name_Hall 'P 1'
loop_
_atom_site_label
_atom_site_type_symbol
_atom_site_fract_x
_atom_site_fract_y
_atom_site_fract_z
Ce1 Ce 0.000 0.000 0.000
Pm1 Pm 0.165 0.835 0.500
Pm2 Pm 0.500 0.500 0.500
Pm3 Pm 0.835 0.165 0.500
Pa1 Pa 0.333 0.667 0.000
Pa2 Pa 0.667 0.333 0.000
P1 P 0.079 0.419 0.238
P2 P 0.261 0.261 0.762
P3 P 0.419 0.079 0.238
P4 P 0.581 0.921 0.762
P5 P 0.739 0.739 0.238
P6 P 0.921 0.581 0.762
```

No. 2
First-principles (PBE) data for Pa2ZnSe6 after structural relaxation, as listed in Alexandria via LeMat-Bulk.

SG   No. 136
Raw total energy   -100.77 eV for the cell shown
Raw formation energy   -98.7 kJ per mole of atoms
Crystal system   tetragonal

```
data_Pa2ZnSe6
_cell_length_a 6.531
_cell_length_b 6.531
_cell_length_c 12.225
_cell_angle_alpha 90.00
_cell_angle_beta 90.00
_cell_angle_gamma 90.00
_symmetry_space_group_name_H-M 'P 1'
_symmetry_Int_Tables_number 1
_symmetry_space_group_name_Hall 'P 1'
loop_
_atom_site_label
_atom_site_type_symbol
_atom_site_fract_x
_atom_site_fract_y
_atom_site_fract_z
Pa1 Pa 0.000 0.000 0.170
Pa2 Pa 0.000 0.000 0.830
Pa3 Pa 0.500 0.500 0.330
Pa4 Pa 0.500 0.500 0.670
Zn1 Zn 0.000 0.000 0.500
Zn2 Zn 0.500 0.500 0.000
Se1 Se 0.196 0.196 0.000
Se2 Se 0.198 0.198 0.341
Se3 Se 0.198 0.198 0.659
Se4 Se 0.302 0.698 0.159
Se5 Se 0.302 0.698 0.841
Se6 Se 0.304 0.696 0.500
Se7 Se 0.696 0.304 0.500
Se8 Se 0.698 0.302 0.159
Se9 Se 0.698 0.302 0.841
Se10 Se 0.802 0.802 0.341
Se11 Se 0.802 0.802 0.659
Se12 Se 0.804 0.804 0.000
```